[1]
# KP3 (PBE, relaxed)
# Energy of formation from the pure elements ... 0.322 eV per atom
# Density ... 2.79 g cm⁻³
# Excess energy over the best structure of this formula in the dataset ... 424.1 meV per atom
data_KP3
_chemical_formula_sum 'K1 P3'
_cell_length_a 3.2875
_cell_length_b 3.2875
_cell_length_c 8.3927
_cell_angle_alpha 90.00
_cell_angle_beta 90.00
_cell_angle_gamma 120.00
_symmetry_space_group_name_H-M 'P -6 m 2'
_symmetry_Int_Tables_number 187
_symmetry_space_group_name_Hall 'P -6 2'
loop_
_atom_site_label
_atom_site_fract_x
_atom_site_fract_y
_atom_site_fract_z
K1 0.0000 0.0000 0.0000
P1 0.0000 0.0000 0.5000
P2 0.6667 0.3333 0.3127



[2]
# RbMn3B (PBE, relaxed)
# Energy of formation from the pure elements ... 0.949 eV per atom
# Density ... 5.39 g cm⁻³
# Excess energy over the best structure of this formula in the dataset ... 0.0 meV per atom
data_RbMn3B
_chemical_formula_sum 'Rb1 Mn3 B1'
_cell_length_a 4.317
_cell_length_b 4.317
_cell_length_c 4.317
_cell_angle_alpha 90.00
_cell_angle_beta 90.00
_cell_angle_gamma 90.00
_symmetry_space_group_name_H-M 'P m -3 m'
_symmetry_Int_Tables_number 221
_symmetry_space_group_name_Hall '-P 4 2 3'
loop_
_atom_site_label
_atom_site_fract_x
_atom_site_fract_y
_atom_site_fract_z
Rb1 0.000 0.000 0.000
Mn1 0.000 0.500 0.500
B1 0.500 0.500 0.500



[3]
# La5Zn3 (PBE, relaxed)
# Energy of formation from the pure elements ... -0.231 eV per atom
# Density ... 6.36 g cm⁻³
# Excess energy over the best structure of this formula in the dataset ... 0.0 meV per atom
data_La5Zn3
_chemical_formula_sum 'La5 Zn3'
_cell_length_a 3.821
_cell_length_b 3.821
_cell_length_c 15.926
_cell_angle_alpha 90.00
_cell_angle_beta 90.00
_cell_angle_gamma 90.00
_symmetry_space_group_name_H-M 'P 4/m m m'
_symmetry_Int_Tables_number 123
_symmetry_space_group_name_Hall '-P 4 2'
loop_
_atom_site_label
_atom_site_fract_x
_atom_site_fract_y
_atom_site_fract_z
La1 0.000 0.000 0.000
La2 0.000 0.000 0.226
La3 0.500 0.500 0.388
Zn1 0.000 0.000 0.500
Zn2 0.500 0.500 0.118



The highest energy of formation from the pure elements belongs to which entry? RbMn3B